# Te3MoF

A relaxed Te3MoF crystal (GGA+U, Alexandria via LeMat-Bulk).

a = 5.227 Å, b = 5.227 Å, c = 5.227 Å
α = 90.00°, β = 90.00°, γ = 90.00°
Space group Pm-3m (No. 221)
Unique sites:
Te1 0.000 0.000 0.500
Mo1 0.000 0.000 0.000
F1 0.500 0.500 0.500

Values from the calculation:
ρ in g/cm3: 5.789
Total DFT energy (no corrections) in eV/atom: -3.269
D(E_F) in states/eV per cell: 4.2